[1]
VASP calculation (PBE-GGA) on a relaxed Pm4Nd4Ho crystal.

Cell and atoms, written as POSCAR:
```
Pm4Nd4Ho
1.0
-4.971 3.761 1.060
-6.136 -0.635 -1.393
-3.767 0.654 11.488
Nd Ho Pm
4 1 4
Cartesian
-10.743 3.137 7.629 Nd
-9.405 3.985 10.915 Nd
-4.131 0.643 3.526 Nd
-5.469 -0.204 0.240 Nd
-2.486 1.881 0.530 Ho
-7.293 2.099 2.417 Pm
-5.947 2.934 5.720 Pm
-8.927 0.846 5.435 Pm
-7.582 1.681 8.738 Pm
```



[2]
VASP calculation (PBE-GGA) on a relaxed Ba4TlSi2 crystal.

Cell and atoms, written as POSCAR:
```
Ba4TlSi2
1.0
-2.856 1.746 2.584
-2.925 -4.651 -3.552
5.283 -16.075 16.698
Si Ba Tl
4 8 2
Cartesian
1.245 -17.081 16.375 Si
0.701 -9.336 7.081 Si
-1.744 -1.899 -0.645 Si
-1.199 -9.644 8.649 Si
2.604 -15.813 13.559 Ba
0.990 -4.306 4.003 Ba
-1.428 0.873 1.292 Ba
1.285 -11.801 9.392 Ba
1.213 -7.164 9.641 Ba
-3.102 -3.166 2.171 Ba
-1.783 -7.178 6.338 Ba
-1.489 -14.674 11.728 Ba
-1.454 -6.426 2.734 Tl
0.955 -12.553 12.996 Tl
```



[3]
VASP calculation (PBE-GGA) on a relaxed Sn4SbTe3 crystal.

Cell and atoms, written as POSCAR:
```
Sn4SbTe3
1.0
-2.621 -2.481 6.835
-0.249 -5.851 -5.074
8.303 -2.368 2.324
Te Sn Sb
6 8 2
Cartesian
2.335 -4.434 0.044 Te
4.533 -2.100 3.161 Te
3.098 -6.266 4.041 Te
6.483 -5.617 1.204 Te
-1.050 -5.083 2.880 Te
1.150 -2.749 5.998 Te
4.501 -9.014 5.022 Sn
1.715 -3.551 2.986 Sn
0.932 -1.687 -0.937 Sn
-0.506 -5.971 -0.164 Sn
2.562 -5.407 7.007 Sn
2.872 -5.293 -2.922 Sn
5.940 -4.729 4.248 Sn
3.718 -7.149 1.099 Sn
5.299 -3.933 7.159 Sb
0.383 -0.916 1.999 Sb
```



[4]
VASP calculation (PBE-GGA) on a relaxed Co3HRu crystal.

Cell and atoms, written as POSCAR:
```
Co3HRu
1.0
4.471 0.000 0.000
0.000 4.471 0.000
0.000 0.000 4.471
Ru Co H
1 3 1
Cartesian
0.000 0.000 0.000 Ru
0.000 0.000 2.236 Co
2.236 0.000 0.000 Co
0.000 2.236 0.000 Co
2.236 2.236 2.236 H
```



[5]
VASP calculation (PBE-GGA) on a relaxed Rb4H3Au crystal.

Cell and atoms, written as POSCAR:
```
Rb4H3Au
1.0
4.357 0.000 0.000
0.000 6.503 0.000
0.000 0.000 9.074
Rb H Au
4 3 1
Cartesian
0.000 3.252 4.537 Rb
0.000 3.252 0.000 Rb
2.178 0.000 2.592 Rb
2.178 0.000 6.482 Rb
2.178 3.252 6.663 H
0.000 0.000 4.537 H
2.178 3.252 2.411 H
0.000 0.000 0.000 Au
```



[6]
VASP calculation (PBE-GGA) on a relaxed Ac2AgAu5 crystal.

Cell and atoms, written as POSCAR:
```
Ac2AgAu5
1.0
6.532 0.107 0.153
-3.122 5.738 -0.153
-3.122 -2.096 5.344
Ag Au Ac
1 5 2
Cartesian
-5.810 3.389 4.829 Ag
-1.728 2.669 3.804 Au
-3.174 0.190 3.804 Au
-1.558 0.909 1.295 Au
-3.174 3.512 1.473 Au
1.912 1.141 1.626 Au
0.116 3.849 1.321 Ac
0.116 -0.067 4.069 Ac
```



[7]
VASP calculation (PBE-GGA) on a relaxed PuThTcAu crystal.

Cell and atoms, written as POSCAR:
```
PuThTcAu
1.0
5.056 0.000 0.000
2.528 4.379 0.000
2.528 1.460 4.128
Pu Au Tc Th
1 1 1 1
Cartesian
2.528 1.460 1.032 Pu
5.056 2.919 2.064 Au
0.000 0.000 0.000 Tc
7.584 4.379 3.096 Th
```



[8]
VASP calculation (PBE-GGA) on a relaxed La2ZnGa crystal.

Cell and atoms, written as POSCAR:
```
La2ZnGa
1.0
-2.252 -2.543 1.831
1.423 -2.088 2.916
-2.828 4.967 7.490
Zn La Ga
1 2 1
Cartesian
-1.828 0.168 6.118 Zn
-2.752 0.277 9.201 La
-0.904 0.058 3.035 La
0.000 0.000 0.000 Ga
```



[9]
VASP calculation (PBE-GGA) on a relaxed PmY2Pd crystal.

Cell and atoms, written as POSCAR:
```
PmY2Pd
1.0
-0.352 1.962 -3.320
-3.494 0.493 -1.597
-2.349 8.691 3.126
Pm Pd Y
1 1 2
Cartesian
-3.093 5.539 -0.916 Pm
-2.566 1.655 -3.267 Pd
-2.149 7.217 2.234 Y
-1.484 2.307 -0.738 Y
```



[10]
VASP calculation (PBE-GGA) on a relaxed V3W crystal.

Cell and atoms, written as POSCAR:
```
V3W
1.0
3.881 0.000 0.000
0.000 3.881 0.000
0.000 0.000 3.881
V W
3 1
Cartesian
1.941 1.941 0.000 V
0.000 1.941 1.941 V
1.941 0.000 1.941 V
0.000 0.000 0.000 W
```



[11]
VASP calculation (PBE-GGA) on a relaxed FePt2Br crystal.

Cell and atoms, written as POSCAR:
```
FePt2Br
1.0
-0.346 -4.528 0.380
3.746 -2.591 -0.135
1.463 -2.089 3.777
Br Pt Fe
1 2 1
Cartesian
2.432 -4.604 2.011 Br
1.216 -2.302 1.005 Pt
0.000 0.000 0.000 Pt
3.648 -6.906 3.016 Fe
```



[12]
VASP calculation (PBE-GGA) on a relaxed Y2CrRe2 crystal.

Cell and atoms, written as POSCAR:
```
Y2CrRe2
1.0
3.593 0.000 0.000
0.000 3.593 0.000
1.797 1.797 8.816
Cr Y Re
1 2 2
Cartesian
0.000 0.000 0.000 Cr
3.593 3.593 6.953 Y
1.797 1.797 1.863 Y
1.797 3.593 4.408 Re
3.593 1.797 4.408 Re
```



| no. | energy (eV per atom) | mass density (Mg/m³) | density of states at the Fermi level (states/eV per atom) |
| --- | --- | --- | --- |
| 1 | -4.72 | 7.09 | 1.557 |
| 2 | -3.23 | 4.32 | 0.794 |
| 3 | -3.89 | 6.42 | 0.538 |
| 4 | -4.77 | 5.18 | 4.083 |
| 5 | -2.31 | 3.50 | 0.000 |
| 6 | -3.94 | 12.60 | 0.411 |
| 7 | -8.99 | 14.01 | 2.649 |
| 8 | -3.75 | 5.81 | 1.246 |
| 9 | -6.02 | 5.92 | 1.090 |
| 10 | -9.78 | 9.56 | 1.590 |
| 11 | -5.00 | 13.05 | 0.835 |
| 12 | -8.94 | 8.78 | 1.153 |